Entry 1:
PBE RbInTeCl2, optimized geometry; uncorrected formation energy = -92.82 kJ per mole of atoms; total magnetization = 0.318 Bohr magnetons per cell; E = -3.070 eV per atom
1.0
5.4303 0.0000 0.0000
0.0000 5.4303 0.0000
0.0000 0.0000 5.7263
Rb In Te Cl
1 1 1 2
Direct
0.0000 0.0000 0.0000
0.5000 0.5000 0.5000
0.5000 0.5000 0.0000
0.0000 0.5000 0.5000
0.5000 0.0000 0.5000

=====

Entry 2:
PBE SrHo2Ir, optimized geometry; energy relative to the lowest polymorph listed for this composition = 0 meV per atom; total magnetization = 0.000 Bohr magnetons per cell; formation enthalpy at 0 K = -0.44 eV per atom; E = -5.362 eV per atom
1.0
2.0832 1.2028 9.1552
-2.0832 1.2028 9.1552
0.0000 -2.4055 9.1552
Sr Ho Ir
1 2 1
Direct
0.0000 0.0000 0.0000
0.2175 0.2175 0.2175
0.4526 0.4526 0.4526
0.8351 0.8351 0.8351

=====

Entry 3:
PBE Ac4GeTe2Ir, optimized geometry; uncorrected formation energy = -109.94 kJ per mole of atoms; total magnetization = 0.000 Bohr magnetons per cell; E = -5.664 eV per atom
1.0
7.8545 0.0000 0.0000
0.0000 4.5584 0.0000
-2.5853 0.0000 7.8921
Ac Ge Te Ir
4 1 2 1
Direct
0.2329 0.0000 0.2140
0.2455 0.5000 0.7866
0.7545 0.5000 0.2134
0.7671 0.0000 0.7860
0.5000 0.0000 0.0000
0.0000 0.0000 0.5000
0.5000 0.5000 0.5000
0.0000 0.5000 0.0000

=====

Entry 4:
PBE Pm2NdC, optimized geometry; energy relative to the lowest polymorph listed for this composition = 0 meV per atom; total magnetization = 0.000 Bohr magnetons per cell; formation enthalpy at 0 K = -0.06 eV per atom; E = -5.932 eV per atom
1.0
3.6770 0.0000 0.0000
-1.8385 3.1844 0.0000
0.0000 0.0000 9.5712
Pm Nd C
2 1 1
Direct
0.3333 0.6667 0.1480
0.6667 0.3333 0.8520
0.0000 0.0000 0.5000
0.0000 0.0000 0.0000

=====

Entry 5:
PBE Rb2HgPBr6, optimized geometry; uncorrected formation energy = -82.34 kJ per mole of atoms; total magnetization = 0.000 Bohr magnetons per cell; E = -2.622 eV per atom
1.0
-3.9366 3.9366 5.4870
3.9366 -3.9366 5.4870
3.9366 3.9366 -5.4870
Rb Hg P Br
2 1 1 6
Direct
0.2500 0.7500 0.5000
0.7500 0.2500 0.5000
0.0000 0.0000 0.0000
0.5000 0.5000 0.0000
0.2639 0.2639 0.0000
0.2675 0.2675 0.5351
0.2675 0.7325 0.0000
0.7325 0.2675 0.0000
0.7325 0.7325 0.4649
0.7361 0.7361 0.0000

=====

Entry 6:
PBE Mo2PbAu, optimized geometry; total magnetization = 0.000 Bohr magnetons per cell; formation enthalpy at 0 K = 0.65 eV per atom; E = -6.511 eV per atom
1.0
2.7968 -4.4171 0.0000
2.7968 4.4171 0.0000
0.0000 0.0000 2.9611
Mo Pb Au
2 1 1
Direct
0.0000 0.5000 0.0000
0.5000 0.0000 0.0000
0.0000 0.0000 0.5000
0.5000 0.5000 0.5000

=====

Entry 7:
PBE Tb6Pr3Sm2Pb, optimized geometry; total magnetization = 0.000 Bohr magnetons per cell; formation enthalpy at 0 K = -0.06 eV per atom; E = -4.666 eV per atom
1.0
3.1012 -5.3744 0.0000
3.1012 5.3744 0.0000
-2.0868 0.0000 11.6623
Tb Pr Sm Pb
6 3 2 1
Direct
0.0811 0.4072 0.2448
0.2447 0.2447 0.7535
0.4072 0.0811 0.2448
0.5928 0.9189 0.7552
0.7553 0.7553 0.2465
0.9189 0.5928 0.7552
0.1684 0.8316 0.5000
0.5000 0.5000 0.5000
0.8316 0.1684 0.5000
0.3340 0.6660 0.0000
0.6660 0.3340 0.0000
0.0000 0.0000 0.0000

=====

Entry 8:
PBE BaCaBiBr2, optimized geometry; uncorrected formation energy = -29.81 kJ per mole of atoms; total magnetization = 0.000 Bohr magnetons per cell; E = -2.539 eV per atom
1.0
6.0522 0.0000 0.0000
0.0000 6.0522 0.0000
0.0000 0.0000 6.8772
Ba Ca Bi Br
1 1 1 2
Direct
0.0000 0.0000 0.0000
0.5000 0.5000 0.0000
0.0000 0.0000 0.5000
0.0000 0.5000 0.5000
0.5000 0.0000 0.5000

=====

Entry 9:
PBE Hf6OsRh, optimized geometry; total magnetization = 0.000 Bohr magnetons per cell; formation enthalpy at 0 K = 0.03 eV per atom; E = -9.754 eV per atom
1.0
3.0273 -5.2938 0.0000
3.0273 5.2938 0.0000
-2.8679 0.0000 5.3735
Hf Os Rh
6 1 1
Direct
0.0427 0.4492 0.2522
0.2500 0.2500 0.7521
0.4492 0.0427 0.2522
0.5508 0.9573 0.7478
0.7500 0.7500 0.2479
0.9573 0.5508 0.7478
0.5000 0.5000 0.5000
0.0000 0.0000 0.0000

=====

Entry 10:
PBE LiNpSc2Te4, optimized geometry; uncorrected formation energy = -96.64 kJ per mole of atoms; total magnetization = 4.817 Bohr magnetons per cell; E = -6.012 eV per atom
1.0
7.3541 0.0000 0.0000
0.0000 4.2164 0.0000
-2.4234 0.0000 6.9948
Li Np Sc Te
1 1 2 4
Direct
0.0000 0.0000 0.0000
0.5000 0.5000 0.0000
0.0000 0.5000 0.5000
0.5000 0.0000 0.5000
0.2378 0.0000 0.7377
0.2454 0.5000 0.2592
0.7546 0.5000 0.7408
0.7622 0.0000 0.2623

=====

Entry 11:
PBE Ce3SmCo2, optimized geometry; energy relative to the lowest polymorph listed for this composition = 0 meV per atom; total magnetization = 0.000 Bohr magnetons per cell; formation enthalpy at 0 K = -0.08 eV per atom; E = -6.200 eV per atom
1.0
8.6871 -2.2510 0.0000
8.6871 2.2510 0.0000
-3.3906 0.0000 7.0286
Ce Sm Co
6 2 4
Direct
0.0272 0.0272 0.2786
0.2998 0.2998 0.5852
0.4017 0.4017 0.3566
0.5983 0.5983 0.6434
0.7002 0.7002 0.4148
0.9728 0.9728 0.7214
0.1790 0.1790 0.0524
0.8210 0.8210 0.9476
0.1729 0.1729 0.6830
0.4838 0.4838 0.8321
0.5162 0.5162 0.1679
0.8271 0.8271 0.3170

=====

Entry 12:
PBE NbAlPd, optimized geometry; total magnetization = 0.000 Bohr magnetons per cell; formation enthalpy at 0 K = -0.55 eV per atom; E = -6.885 eV per atom
1.0
1.7364 -6.6286 0.0000
1.7364 6.6286 0.0000
0.0000 0.0000 4.1426
Nb Al Pd
2 2 2
Direct
0.2478 0.7522 0.7500
0.7522 0.2478 0.2500
0.4224 0.5776 0.2500
0.5776 0.4224 0.7500
0.0776 0.9224 0.2500
0.9224 0.0776 0.7500

=====

Among the records above, which one has the lowest E?
Hf6OsRh